No. 1
Compound: PRh3
Source: Alexandria via LeMat-Bulk
Functional: PBE
Structure: relaxed

Calculated values
formation energy from the elements	87	meV per atom
space-group type	Cmcm
ρ	9.376	g/cm³

Cell lengths 5.125, 5.125, 4.611 Å; angles 90.00, 90.00, 96.49 degrees
Atoms (fractional coordinates):
P: 0.448 0.552 0.250
P: 0.552 0.448 0.750
Rh: 0.896 0.104 0.750
Rh: 0.104 0.896 0.250
Rh: 0.995 0.611 0.750
Rh: 0.005 0.389 0.250
Rh: 0.389 0.005 0.750
Rh: 0.611 0.995 0.250

---

No. 2
Compound: LaSc4Si
Source: Alexandria via LeMat-Bulk
Functional: PBE
Structure: relaxed

Calculated values
formation energy (no corrections)	0.2929	eV/atom
space-group type	F-43m
ρ	3.774	g/cm³

Cell lengths 5.998, 5.998, 5.998 Å; angles 60.00, 60.00, 60.00 degrees
Atoms (fractional coordinates):
La: 0.000 0.000 0.000
Sc: 0.875 0.375 0.375
Sc: 0.375 0.375 0.875
Sc: 0.375 0.875 0.375
Sc: 0.375 0.375 0.375
Si: 0.750 0.750 0.750